Sm5Ga2Sn2 | PBE | optimized geometry

Output
calculated density	7.26	g cm⁻³
volume	28.70	A^3/atom
space-group type	No. 64
raw total energy	-86.5	eV per cell
E_form	-0.62	eV per atom

Lattice parameters (Å, degrees): 8.023 8.144 8.894 117.25 90.00 90.00
Positions (direct):
1 Sm 0.000 0.000 0.000
2 Sm 0.500 0.500 0.000
3 Sm 0.825 0.814 0.270
4 Sm 0.175 0.456 0.270
5 Sm 0.325 0.956 0.270
6 Sm 0.675 0.314 0.270
7 Sm 0.175 0.186 0.730
8 Sm 0.825 0.544 0.730
9 Sm 0.675 0.044 0.730
10 Sm 0.325 0.686 0.730
11 Ga 0.617 0.883 0.000
12 Ga 0.383 0.117 0.000
13 Ga 0.117 0.617 0.000
14 Ga 0.883 0.383 0.000
15 Sn 0.000 0.210 0.420
16 Sn 0.500 0.710 0.420
17 Sn 0.000 0.790 0.580
18 Sn 0.500 0.290 0.580